a) Density functional theory data (GGA-PBE) for a relaxed Hf2Zr4Sc5 crystal.

a b c (Å): 3.1771 7.8071 11.5740
angles (deg): 98.83 65.70 101.70
Closest atoms and distances in Å follow each position.
Fractional positions:
Zr (0.7216, 0.8118, 0.4561)  7 Sc 3.00-3.34, 4 Zr 3.18-3.35, 2 Hf 3.26
Zr (0.0457, 0.3847, 0.0979)  3 Hf 3.09-3.28, 4 Zr 3.18-3.24, 6 Sc 3.23-3.43
Sc (0.1870, 0.4617, 0.3629)  4 Sc 2.86-3.18, 1 Hf 2.98
Hf (0.5941, 0.7484, 0.1868)  5 Sc 2.98-3.27, 5 Zr 3.09-3.28, 2 Hf 3.18
Zr (0.2784, 0.1882, 0.5439)  7 Sc 3.00-3.34, 4 Zr 3.18-3.35, 2 Hf 3.26
Sc (0.5000, 0.0000, 0.0000)  4 Sc 2.96-3.18, 4 Hf 3.27
Sc (0.8660, 0.9020, 0.7231)  4 Sc 2.86-3.18, 1 Zr 3.00, 2 Hf 3.19
Hf (0.4059, 0.2516, 0.8132)  5 Sc 2.98-3.27, 5 Zr 3.09-3.28, 2 Hf 3.18
Sc (0.8130, 0.5383, 0.6371)  4 Sc 2.86-3.18, 1 Hf 2.98
Sc (0.1340, 0.0980, 0.2769)  4 Sc 2.86-3.18, 1 Zr 3.00, 2 Hf 3.19
Zr (0.9543, 0.6153, 0.9021)  3 Hf 3.09-3.28, 4 Zr 3.18-3.24, 6 Sc 3.23-3.43

Properties
DOS at the Fermi energy = 1.44 states/eV/atom

=====

b) Density functional theory data (GGA-PBE) for a relaxed Hf2Zr4Sc5 crystal.

a b c (Å): 3.1063 7.8789 10.8292
angles (deg): 94.82 98.25 90.00
Closest atoms and distances in Å follow each position.
Fractional positions:
Sc (0.2286, 0.8108, 0.4573)  1 Hf 3.00, 5 Sc 3.11-3.25, 3 Zr 3.12-3.25
Sc (0.8608, 0.8912, 0.7216)  3 Zr 2.90-3.25, 5 Sc 3.11-3.25, 1 Hf 3.19
Zr (0.3245, 0.5344, 0.6491)  4 Zr 3.11-3.22, 5 Sc 3.12-3.25, 2 Hf 3.20
Zr (0.9533, 0.6431, 0.9066)  2 Hf 2.90-2.94, 1 Sc 2.90, 5 Zr 3.11-3.22
Hf (0.9101, 0.2843, 0.8201)  4 Zr 2.90-3.20, 2 Sc 3.00-3.19, 2 Hf 3.11
Zr (0.0467, 0.3569, 0.0934)  2 Hf 2.90-2.94, 1 Sc 2.90, 5 Zr 3.11-3.22
Sc (0.1392, 0.1088, 0.2784)  3 Zr 2.90-3.25, 5 Sc 3.11-3.25, 1 Hf 3.19
Sc (0.5000, 0.0000, 0.0000)  6 Sc 3.11-3.41, 4 Zr 3.29, 4 Hf 3.45
Zr (0.6755, 0.4656, 0.3509)  4 Zr 3.11-3.22, 5 Sc 3.12-3.25, 2 Hf 3.20
Sc (0.7714, 0.1892, 0.5427)  1 Hf 3.00, 5 Sc 3.11-3.25, 3 Zr 3.12-3.25
Hf (0.0899, 0.7157, 0.1799)  4 Zr 2.90-3.20, 2 Sc 3.00-3.19, 2 Hf 3.11

Properties
DOS at the Fermi energy = 1.45 states/eV/atom

=====

Stability summary: most stable a), least stable b).

=====

a) Density functional theory data (GGA-PBE) for a relaxed HfZr2Sc6 crystal.

a b c (Å): 3.2454 7.9897 10.8044
angles (deg): 128.10 90.00 101.72
Closest atoms and distances in Å follow each position.
Fractional positions:
Sc (0.9652, 0.9305, 0.7580)  2 Zr 3.15, 1 Hf 3.16, 9 Sc 3.24-3.28
Sc (0.2998, 0.5995, 0.4254)  1 Zr 3.14, 2 Hf 3.15, 9 Sc 3.24-3.29
Sc (0.3671, 0.7342, 0.9083)  3 Zr 3.16-3.17, 9 Sc 3.25-3.29
Sc (0.6329, 0.2658, 0.0917)  3 Zr 3.16-3.17, 9 Sc 3.25-3.29
Sc (0.0348, 0.0695, 0.2420)  2 Zr 3.15, 1 Hf 3.16, 9 Sc 3.24-3.28
Sc (0.7002, 0.4005, 0.5746)  1 Zr 3.14, 2 Hf 3.15, 9 Sc 3.24-3.29
Zr (0.6644, 0.3288, 0.8293)  6 Sc 3.14-3.17, 2 Hf 3.22, 4 Zr 3.25-3.31
Zr (0.3356, 0.6712, 0.1707)  6 Sc 3.14-3.17, 2 Hf 3.22, 4 Zr 3.25-3.31
Hf (0.0000, 0.0000, 0.5000)  6 Sc 3.15-3.16, 4 Zr 3.22, 2 Hf 3.25

Properties
DOS at the Fermi energy = 1.72 states/eV/atom

=====

b) Density functional theory data (GGA-PBE) for a relaxed HfZr2Sc6 crystal.

a b c (Å): 3.1149 7.9201 9.1416
angles (deg): 78.83 80.19 78.66
Closest atoms and distances in Å follow each position.
Fractional positions:
Zr (0.6661, 0.9827, 0.6851)  2 Zr 3.11, 7 Sc 3.13-3.33, 2 Hf 3.26
Sc (0.9532, 0.3406, 0.7530)  9 Sc 3.11-3.33, 1 Hf 3.16, 2 Zr 3.33
Sc (0.7745, 0.3374, 0.1136)  4 Sc 2.96-3.24, 1 Hf 2.97, 2 Zr 3.22
Sc (0.0468, 0.6594, 0.2470)  9 Sc 3.11-3.33, 1 Hf 3.16, 2 Zr 3.33
Hf (0.0000, 0.0000, 0.0000)  4 Sc 2.97-3.16, 2 Hf 3.11, 4 Zr 3.26
Zr (0.3339, 0.0173, 0.3149)  2 Zr 3.11, 7 Sc 3.13-3.33, 2 Hf 3.26
Sc (0.2255, 0.6626, 0.8864)  4 Sc 2.96-3.24, 1 Hf 2.97, 2 Zr 3.22
Sc (0.6163, 0.3231, 0.4442)  8 Sc 2.96-3.30, 3 Zr 3.13-3.22
Sc (0.3837, 0.6769, 0.5558)  8 Sc 2.96-3.30, 3 Zr 3.13-3.22

Properties
DOS at the Fermi energy = 1.88 states/eV/atom

=====

Stability summary: most stable a), least stable b).

=====

a) Density functional theory data (GGA-PBE) for a relaxed Hf3Zr2Sc2 crystal.

a b c (Å): 3.1707 7.6424 7.7486
angles (deg): 118.57 90.05 101.95
Closest atoms and distances in Å follow each position.
Fractional positions:
Zr (0.3566, 0.7138, 0.1498)  5 Hf 3.05-3.37, 4 Zr 3.17-3.30, 4 Sc 3.28
Sc (0.0727, 0.1439, 0.4322)  1 Sc 2.82, 4 Hf 2.97-3.13
Zr (0.6434, 0.2862, 0.8502)  5 Hf 3.05-3.37, 4 Zr 3.17-3.30, 4 Sc 3.28
Hf (0.2972, 0.5943, 0.7132)  3 Sc 2.98-3.13, 1 Zr 3.05, 6 Hf 3.17-3.30
Sc (0.9273, 0.8561, 0.5678)  1 Sc 2.82, 4 Hf 2.97-3.13
Hf (0.7028, 0.4057, 0.2868)  3 Sc 2.98-3.13, 1 Zr 3.05, 6 Hf 3.17-3.30
Hf (0.0000, 0.0000, 0.0000)  2 Sc 2.97, 6 Hf 3.17, 4 Zr 3.30

Properties
DOS at the Fermi energy = 1.17 states/eV/atom

=====

b) Density functional theory data (GGA-PBE) for a relaxed Hf3Zr2Sc2 crystal.

a b c (Å): 7.5568 7.5568 7.5568
angles (deg): 109.47 109.47 109.47
Closest atoms and distances in Å follow each position.
Fractional positions:
Hf (0.2500, 0.9905, 0.2405)  2 Zr 3.01, 4 Sc 3.03-3.04, 4 Hf 3.15
Sc (0.5000, 0.4829, 0.5000)  1 Zr 2.72, 6 Hf 3.03-3.04
Zr (0.0000, 0.0000, 0.8424)  1 Sc 2.72, 3 Hf 3.01
Hf (0.7405, 0.7500, 0.9905)  2 Zr 3.01, 4 Sc 3.03-3.04, 4 Hf 3.15
Zr (0.3424, 0.5000, 0.0000)  1 Sc 2.72, 3 Hf 3.01
Zr (0.5000, 0.8424, 0.5000)  1 Sc 2.72, 3 Hf 3.01
Sc (0.9829, 0.5000, 0.0000)  1 Zr 2.72, 6 Hf 3.03-3.04
Sc (0.0000, 0.0000, 0.4829)  1 Zr 2.72, 6 Hf 3.03-3.04
Hf (0.0095, 0.2595, 0.2500)  2 Zr 3.01, 4 Sc 3.03-3.04, 4 Hf 3.15
Hf (0.4905, 0.2405, 0.7500)  2 Zr 3.01, 4 Sc 3.03-3.04, 4 Hf 3.15
Hf (0.7500, 0.5095, 0.2595)  2 Zr 3.01, 4 Sc 3.03-3.04, 4 Hf 3.15
Sc (0.5171, 0.0171, 0.0171)  1 Zr 2.72, 6 Hf 3.03-3.04
Zr (0.1576, 0.6576, 0.6576)  1 Sc 2.72, 3 Hf 3.01
Hf (0.7595, 0.2500, 0.5095)  2 Zr 3.01, 4 Sc 3.03-3.04, 4 Hf 3.15

Properties
DOS at the Fermi energy = 1.06 states/eV/atom

=====

Stability summary: most stable a), least stable b).

=====

a) Density functional theory data (GGA-PBE) for a relaxed HfZr3Sc4 crystal.

a b c (Å): 3.2205 11.7883 6.4416
angles (deg): 114.19 60.07 114.19
Closest atoms and distances in Å follow each position.
Fractional positions:
Zr (0.2089, 0.0008, 0.8961)  6 Sc 3.19-3.22, 6 Zr 3.22
Sc (0.2915, 0.7482, 0.4359)  2 Hf 3.18, 4 Zr 3.18-3.22, 6 Sc 3.22-3.23
Zr (0.2076, 0.9992, 0.3953)  6 Sc 3.19-3.22, 6 Zr 3.22
Zr (0.7085, 0.5000, 0.6460)  6 Sc 3.18-3.19, 2 Zr 3.22, 4 Hf 3.22
Sc (0.1244, 0.2500, 0.3540)  5 Zr 3.19-3.20, 1 Hf 3.19, 6 Sc 3.22-3.23
Hf (0.7085, 0.5000, 0.1460)  6 Sc 3.18-3.19, 2 Hf 3.22, 4 Zr 3.22
Sc (0.2922, 0.7500, 0.9376)  5 Zr 3.19-3.20, 1 Hf 3.19, 6 Sc 3.22-3.23
Sc (0.1251, 0.2518, 0.8558)  2 Hf 3.18, 4 Zr 3.18-3.22, 6 Sc 3.22-3.23

Properties
DOS at the Fermi energy = 1.61 states/eV/atom

=====

b) Density functional theory data (GGA-PBE) for a relaxed HfZr3Sc4 crystal.

a b c (Å): 5.6102 6.5773 10.2487
angles (deg): 90.00 90.00 90.00
Closest atoms and distances in Å follow each position.
Fractional positions:
Zr (0.6525, 0.3832, 0.2502)  4 Zr 3.14-3.20, 2 Hf 3.14, 6 Sc 3.18-3.39
Hf (0.9771, 0.3830, 0.0000)  6 Zr 3.14-3.20, 6 Sc 3.17-3.38
Zr (0.1525, 0.6168, 0.2498)  4 Zr 3.14-3.20, 2 Hf 3.14, 6 Sc 3.18-3.39
Sc (0.1391, 0.1314, 0.7511)  1 Hf 3.17, 5 Zr 3.19-3.39, 6 Sc 3.19-3.29
Sc (0.4877, 0.1306, 0.5000)  4 Zr 3.19-3.31, 6 Sc 3.19-3.30, 2 Hf 3.20-3.38
Sc (0.4896, 0.1321, 0.0000)  4 Zr 3.18-3.39, 2 Hf 3.19-3.32, 6 Sc 3.21-3.30
Sc (0.9896, 0.8679, 0.5000)  4 Zr 3.18-3.39, 2 Hf 3.19-3.32, 6 Sc 3.21-3.30
Sc (0.1391, 0.1314, 0.2489)  1 Hf 3.17, 5 Zr 3.19-3.39, 6 Sc 3.19-3.29
Zr (0.6525, 0.3832, 0.7498)  4 Zr 3.14-3.20, 2 Hf 3.14, 6 Sc 3.18-3.39
Zr (0.1525, 0.6168, 0.7502)  4 Zr 3.14-3.20, 2 Hf 3.14, 6 Sc 3.18-3.39
Hf (0.4771, 0.6170, 0.5000)  6 Zr 3.14-3.20, 6 Sc 3.17-3.38
Sc (0.9877, 0.8694, 0.0000)  4 Zr 3.19-3.31, 6 Sc 3.19-3.30, 2 Hf 3.20-3.38
Sc (0.6391, 0.8686, 0.2511)  1 Hf 3.17, 5 Zr 3.19-3.39, 6 Sc 3.19-3.29
Zr (0.9774, 0.3826, 0.5000)  4 Zr 3.14-3.15, 6 Sc 3.19-3.39, 2 Hf 3.20
Sc (0.6391, 0.8686, 0.7489)  1 Hf 3.17, 5 Zr 3.19-3.39, 6 Sc 3.19-3.29
Zr (0.4774, 0.6174, 0.0000)  4 Zr 3.14-3.15, 6 Sc 3.19-3.39, 2 Hf 3.20

Properties
DOS at the Fermi energy = 1.34 states/eV/atom

=====

Stability summary: most stable b), least stable a).

=====

a) Density functional theory data (GGA-PBE) for a relaxed Hf3ZrSc2 crystal.

a b c (Å): 5.5885 6.4772 8.4903
angles (deg): 112.42 102.72 90.00
Closest atoms and distances in Å follow each position.
Fractional positions:
Hf (0.2500, 0.6280, 0.0000)  4 Hf 3.12-3.25, 4 Sc 3.15-3.16, 4 Zr 3.22-3.25
Sc (0.5284, 0.5427, 0.3336)  8 Hf 3.15-3.26, 1 Zr 3.16, 3 Sc 3.16-3.22
Zr (0.7500, 0.8744, 0.0000)  8 Hf 3.13-3.25, 2 Sc 3.16, 2 Zr 3.23
Sc (0.4716, 0.4573, 0.6664)  8 Hf 3.15-3.26, 1 Zr 3.16, 3 Sc 3.16-3.22
Hf (0.9779, 0.7104, 0.6699)  4 Hf 3.12-3.23, 2 Zr 3.13-3.15, 6 Sc 3.16-3.26
Hf (0.5221, 0.0405, 0.3301)  4 Hf 3.12-3.23, 2 Zr 3.13-3.15, 6 Sc 3.16-3.26
Hf (0.0221, 0.2896, 0.3301)  4 Hf 3.12-3.23, 2 Zr 3.13-3.15, 6 Sc 3.16-3.26
Hf (0.7500, 0.3720, 0.0000)  4 Hf 3.12-3.25, 4 Sc 3.15-3.16, 4 Zr 3.22-3.25
Sc (0.0284, 0.7909, 0.3336)  8 Hf 3.15-3.26, 1 Zr 3.16, 3 Sc 3.16-3.22
Hf (0.4779, 0.9595, 0.6699)  4 Hf 3.12-3.23, 2 Zr 3.13-3.15, 6 Sc 3.16-3.26
Sc (0.9716, 0.2091, 0.6664)  8 Hf 3.15-3.26, 1 Zr 3.16, 3 Sc 3.16-3.22
Zr (0.2500, 0.1256, 0.0000)  8 Hf 3.13-3.25, 2 Sc 3.16, 2 Zr 3.23

Properties
DOS at the Fermi energy = 1.45 states/eV/atom

=====

b) Density functional theory data (GGA-PBE) for a relaxed Hf3ZrSc2 crystal.

a b c (Å): 3.2167 8.5693 10.2284
angles (deg): 90.00 90.00 100.82
Closest atoms and distances in Å follow each position.
Fractional positions:
Hf (0.3312, 0.6625, 0.4978)  3 Zr 3.13-3.17, 6 Hf 3.14-3.22, 3 Sc 3.20-3.26
Sc (0.0000, 0.0000, 0.5000)  6 Sc 3.17-3.22, 6 Hf 3.19-3.26
Hf (0.3312, 0.6625, 0.0022)  3 Zr 3.13-3.17, 6 Hf 3.14-3.22, 3 Sc 3.20-3.26
Hf (0.8867, 0.7733, 0.2500)  6 Hf 3.14-3.22, 4 Sc 3.19-3.28, 2 Zr 3.21
Zr (0.7781, 0.5561, 0.7500)  8 Hf 3.13-3.21, 2 Sc 3.22, 2 Zr 3.22
Hf (0.6688, 0.3375, 0.9978)  3 Zr 3.13-3.17, 6 Hf 3.14-3.22, 3 Sc 3.20-3.26
Hf (0.6688, 0.3375, 0.5022)  3 Zr 3.13-3.17, 6 Hf 3.14-3.22, 3 Sc 3.20-3.26
Sc (0.0000, 0.0000, 0.0000)  6 Sc 3.17-3.22, 6 Hf 3.19-3.26
Sc (0.5565, 0.1130, 0.2500)  6 Sc 3.17-3.22, 4 Hf 3.20-3.28, 2 Zr 3.22
Sc (0.4435, 0.8870, 0.7500)  6 Sc 3.17-3.22, 4 Hf 3.20-3.28, 2 Zr 3.22
Zr (0.2219, 0.4439, 0.2500)  8 Hf 3.13-3.21, 2 Sc 3.22, 2 Zr 3.22
Hf (0.1133, 0.2267, 0.7500)  6 Hf 3.14-3.22, 4 Sc 3.19-3.28, 2 Zr 3.21

Properties
DOS at the Fermi energy = 1.33 states/eV/atom

=====

Stability summary: most stable a), least stable b).